VReOF2 (GGA+U, relaxed); calculated volume = 14.3 A^3/atom; symmetry = P4/mmm; energy above the lowest structure with this stoichiometry = 199 meV/atom; M_tot = 1.7 μB per formula unit; DOS(E_F) = 6.21 states/eV/cell
1.0
-0.5721 -4.2528 0.6226
3.7795 -0.1986 2.1158
-1.7939 0.7204 3.2721
V Re F O
1 1 2 1
Direct
0.5000 0.5000 0.5000
0.0000 0.0000 0.0000
0.5000 0.0000 0.0000
0.0000 0.5000 0.0000
0.0000 0.0000 0.5000